[1]
La8GeS3Cl4: relaxed, PBE.

Lattice parameters (Å, degrees): 8.4161 8.4161 20.6158 90.00 90.00 120.00
Space group R-3m (No. 166, hexagonal axes)
One atom of each set of equivalent atoms:
La (0.0000, 0.0000, 0.2421)
La (0.0077, 0.5038, 0.7560)
Ge (0.0000, 0.0000, 0.5000)
S (0.0000, 0.5000, 0.5000)
Cl (0.0000, 0.0000, 0.0000)
Cl (0.0000, 0.5000, 0.0000)

Uncorrected energy, eV/atom: -5.744
Formation energy without anion corrections, eV/atom: -1.756
Fermi-level density of states, states/eV per atom: 0.57
Total magnetic moment, μB/cell: 0.00

***

[2]
La4GeSbCl2: relaxed, PBE.

Lattice parameters (Å, degrees): 7.279 4.439 7.843 90.00 110.34 90.00
Space group P2/m (No. 10)
One atom of each set of equivalent atoms:
La (0.243, 0.000, 0.231)
La (0.254, 0.500, 0.770)
Ge (0.000, 0.500, 0.000)
Sb (0.000, 0.000, 0.500)
Cl (0.500, 0.000, 0.000)
Cl (0.500, 0.500, 0.500)

Uncorrected energy, eV/atom: -5.416
Formation energy without anion corrections, eV/atom: -1.398
Fermi-level density of states, states/eV per atom: 0.60
Total magnetic moment, μB/cell: 0.00

***

- Which value of Fermi-level density of states does entry 1 give?
  0.57 states/eV per atom

***

Please write out number 2 again, unchanged.
La4GeSbCl2: relaxed, PBE.

Lattice parameters (Å, degrees): 7.279 4.439 7.843 90.00 110.34 90.00
Space group P2/m (No. 10)
One atom of each set of equivalent atoms:
La (0.243, 0.000, 0.231)
La (0.254, 0.500, 0.770)
Ge (0.000, 0.500, 0.000)
Sb (0.000, 0.000, 0.500)
Cl (0.500, 0.000, 0.000)
Cl (0.500, 0.500, 0.500)

Uncorrected energy, eV/atom: -5.416
Formation energy without anion corrections, eV/atom: -1.398
Fermi-level density of states, states/eV per atom: 0.60
Total magnetic moment, μB/cell: 0.00

***

- Among the records above, which one has the highest Fermi-level density of states?
  La4GeSbCl2

***

- What is the total magnetic moment in the second record?
  0.00 μB/cell